(1)
VASP calculation (PBE) on SmNi2 after structural relaxation.

## Properties
Energy of formation from the pure elements ... -1.09 eV per formula unit
Crystal system ... cubic

POSCAR file:
```
SmNi2
1.0
-1.391 -2.423 4.306
-1.547 -4.890 -0.192
2.974 -3.710 1.932
Sm Ni
2 4
direct
0.500 0.500 0.500
0.750 0.750 0.750
0.125 0.125 0.125
0.625 0.125 0.125
0.125 0.625 0.125
0.125 0.125 0.625
```

***

(2)
VASP calculation (PBE) on SmNi3 after structural relaxation.

## Properties
Energy of formation from the pure elements ... -1.40 eV per formula unit
Crystal system ... trigonal

POSCAR file:
```
SmNi3
1.0
-3.863 -2.394 2.111
-2.573 -3.406 -2.625
2.937 -7.808 2.468
Ni Sm
9 3
direct
0.919 0.419 0.244
0.419 0.919 0.244
0.419 0.419 0.244
0.500 0.500 0.500
0.333 0.333 0.002
0.667 0.667 0.998
0.581 0.081 0.756
0.081 0.581 0.756
0.581 0.581 0.756
0.861 0.861 0.416
0.139 0.139 0.584
0.000 0.000 0.000
```

***

(3)
VASP calculation (PBE) on Sm3Ni2 after structural relaxation.

## Properties
Energy of formation from the pure elements ... -1.13 eV per formula unit
Crystal system ... trigonal
Polymorph energy (0 for the lowest one) ... 0.023 eV/atom

POSCAR file:
```
Sm3Ni2
1.0
6.844 0.000 0.000
3.422 5.927 0.000
3.422 1.976 6.208
Ni Sm
4 6
direct
0.815 0.815 0.555
0.315 0.315 0.055
0.185 0.185 0.445
0.685 0.685 0.945
0.124 0.750 0.750
0.750 0.376 0.750
0.376 0.124 0.750
0.250 0.624 0.250
0.624 0.876 0.250
0.876 0.250 0.250
```

***

(4)
VASP calculation (PBE) on Sm5Ni2Sn after structural relaxation.

## Properties
Energy of formation from the pure elements ... -3.20 eV per formula unit
Crystal system ... tetragonal

POSCAR file:
```
Sm5Ni2Sn
1.0
2.246 6.335 -4.084
7.140 -3.154 -0.966
-6.765 -4.535 -3.180
Sm Ni Sn
10 4 2
direct
0.522 0.704 0.726
0.796 0.978 0.274
0.000 0.000 0.000
0.500 0.500 0.000
0.204 0.022 0.726
0.704 0.204 0.726
0.022 0.522 0.726
0.296 0.796 0.274
0.978 0.478 0.274
0.478 0.296 0.274
0.127 0.373 0.000
0.627 0.127 0.000
0.373 0.873 0.000
0.873 0.627 0.000
0.750 0.750 0.500
0.250 0.250 0.500
```

***

(5)
VASP calculation (PBE) on Sm2NiSn4 after structural relaxation.

## Properties
Energy of formation from the pure elements ... -4.23 eV per formula unit
Crystal system ... orthorhombic
Polymorph energy (0 for the lowest one) ... 0.018 eV/atom

POSCAR file:
```
Sm2NiSn4
1.0
4.474 0.000 0.000
0.000 4.485 0.000
2.237 0.000 8.700
Sm Ni Sn
2 1 4
direct
0.105 0.750 0.790
0.898 0.250 0.205
0.312 0.750 0.376
0.742 0.750 0.515
0.243 0.250 0.514
0.455 0.750 0.090
0.565 0.250 0.870
```

***

(6)
VASP calculation (PBE) on SmNi2Sn2 after structural relaxation.

## Properties
Energy of formation from the pure elements ... -2.47 eV per formula unit
Crystal system ... triclinic

POSCAR file:
```
SmNi2Sn2
1.0
4.301 0.011 -0.017
0.009 4.630 -0.250
-2.162 -1.561 5.184
Ni Sn Sm
2 2 1
direct
0.744 0.162 0.493
0.256 0.838 0.507
0.356 0.415 0.715
0.644 0.585 0.285
0.000 0.000 0.000
```

***

(7)
VASP calculation (PBE) on Sm3Ni2Sn3 after structural relaxation.

## Properties
Energy of formation from the pure elements ... -5.27 eV per formula unit
Crystal system ... orthorhombic

POSCAR file:
```
Sm3Ni2Sn3
1.0
-2.917 1.970 -4.805
-6.736 -4.183 2.374
-4.773 12.158 7.881
Sm Ni Sn
12 8 12
direct
0.122 0.468 0.390
0.622 0.032 0.610
0.878 0.532 0.890
0.378 0.968 0.110
0.878 0.532 0.610
0.378 0.968 0.390
0.122 0.468 0.110
0.622 0.032 0.890
0.630 0.328 0.250
0.130 0.172 0.750
0.370 0.672 0.750
0.870 0.828 0.250
0.881 0.096 0.393
0.381 0.404 0.607
0.119 0.904 0.893
0.619 0.596 0.107
0.119 0.904 0.607
0.619 0.596 0.393
0.881 0.096 0.107
0.381 0.404 0.893
0.112 0.178 0.250
0.612 0.322 0.750
0.888 0.822 0.750
0.388 0.678 0.250
0.614 0.312 0.461
0.114 0.188 0.539
0.386 0.688 0.961
0.886 0.812 0.039
0.386 0.688 0.539
0.886 0.812 0.461
0.614 0.312 0.039
0.114 0.188 0.961
```

***

(8)
VASP calculation (PBE) on Sm3Ni2Sn4 after structural relaxation.

## Properties
Energy of formation from the pure elements ... -5.86 eV per formula unit
Crystal system ... monoclinic

POSCAR file:
```
Sm3Ni2Sn4
1.0
-1.611 3.153 -2.762
0.679 -1.603 -5.877
-7.400 -4.085 -3.997
Sm Ni Sn
3 2 4
direct
0.373 0.566 0.689
0.000 0.000 0.000
0.627 0.434 0.311
0.298 0.012 0.392
0.702 0.988 0.608
0.295 0.323 0.088
0.705 0.677 0.912
0.090 0.209 0.611
0.910 0.791 0.389
```

***

(9)
VASP calculation (PBE) on SmNi3Sn3 after structural relaxation.

## Properties
Energy of formation from the pure elements ... 0.34 eV per formula unit
Crystal system ... cubic

POSCAR file:
```
SmNi3Sn3
1.0
6.894 0.000 0.000
0.000 6.894 0.000
0.000 0.000 6.894
Ni Sn Sm
6 6 2
direct
0.250 0.000 0.500
0.000 0.500 0.250
0.500 0.750 0.000
0.750 0.000 0.500
0.000 0.500 0.750
0.500 0.250 0.000
0.000 0.250 0.500
0.000 0.750 0.500
0.500 0.000 0.750
0.750 0.500 0.000
0.500 0.000 0.250
0.250 0.500 0.000
0.500 0.500 0.500
0.000 0.000 0.000
```

***

(10)
VASP calculation (PBE) on SmNiSn after structural relaxation.

## Properties
Energy of formation from the pure elements ... -1.94 eV per formula unit
Crystal system ... hexagonal

POSCAR file:
```
SmNiSn
1.0
-0.501 -1.491 3.687
7.286 0.322 1.120
-4.260 5.763 1.753
Ni Sn Sm
3 3 3
direct
0.500 0.667 0.333
0.000 0.000 0.000
0.500 0.333 0.667
0.500 0.000 0.252
0.500 0.252 0.000
0.500 0.748 0.748
0.000 0.589 0.000
0.000 0.411 0.411
0.000 0.000 0.589
```

***

(11)
VASP calculation (PBE) on Sm3Ni4Sn4 after structural relaxation.

## Properties
Energy of formation from the pure elements ... -5.96 eV per formula unit
Crystal system ... orthorhombic

POSCAR file:
```
Sm3Ni4Sn4
1.0
4.295 0.000 -1.182
-0.791 6.395 -2.874
-0.009 -0.136 8.360
Sm Ni Sn
3 4 4
direct
0.133 0.133 0.265
0.867 0.867 0.735
0.000 0.500 0.000
0.322 0.131 0.644
0.678 0.487 0.356
0.678 0.869 0.356
0.322 0.513 0.644
0.216 0.716 0.431
0.784 0.284 0.569
0.500 0.797 0.000
0.500 0.203 0.000
```

***

(12)
VASP calculation (PBE) on Sm4NiSn8 after structural relaxation.

## Properties
Energy of formation from the pure elements ... -8.04 eV per formula unit
Crystal system ... orthorhombic

POSCAR file:
```
Sm4NiSn8
1.0
4.445 0.000 0.000
0.000 4.494 0.000
0.000 0.000 17.012
Sm Ni Sn
4 1 8
direct
0.000 0.000 0.098
0.000 0.500 0.604
0.500 0.500 0.396
0.500 0.000 0.899
0.000 0.000 0.310
0.000 0.000 0.456
0.000 0.500 0.934
0.500 0.500 0.055
0.500 0.000 0.571
0.000 0.500 0.238
0.000 0.000 0.750
0.500 0.000 0.237
0.500 0.500 0.754
```

***

no.,magnetic moment (Bohr magnetons per cell)
1,0.00
2,0.99
3,0.00
4,0.00
5,0.00
6,0.00
7,0.00
8,0.00
9,0.00
10,0.00
11,0.00
12,0.00